Entry 1:
Material: RhSe2Cl
Method: DFT, PBE-GGA
State: relaxed

For the uncorrected formation energy, the calculation gives -0.324 eV/atom. The value obtained for the volume is 21.39 Å³ per atom. The value obtained for the density of states at the Fermi level is 2.6 states/eV per cell. For the energy above the most stable polymorph in this dataset, the calculation gives 0.016 eV per atom.

It has space group P2/m (No. 10), with a = 4.8092 Å, b = 3.7868 Å, c = 4.9966 Å, α = 90.00°, β = 109.87° and γ = 90.00°. The asymmetric unit holds Rh at (0.0000, 0.0000, 0.0000), Se at (0.3572, 0.5000, 0.1556) and Cl at (0.0000, 0.0000, 0.5000).

Entry 2:
Material: TiMnV2
Method: DFT, PBE-GGA
State: relaxed

The value obtained for the volume is 13.36 Å³ per atom. As for the energy of formation: -0.013 eV/atom. The value obtained for the density of states at the Fermi level is 6.7 states/eV per cell. For the energy above the most stable polymorph in this dataset, the calculation gives 0.135 eV per atom.

It has space group P4/mmm (No. 123), with a = 4.2269 Å, b = 4.2269 Å, c = 2.9912 Å, α = 90.00°, β = 90.00° and γ = 90.00°. The asymmetric unit holds Ti at (0.0000, 0.0000, 0.0000), Mn at (0.5000, 0.5000, 0.0000) and V at (0.0000, 0.5000, 0.5000).

Entry 3:
Material: SiPb
Method: DFT, PBE-GGA
State: relaxed

For the uncorrected formation energy, the calculation gives 0.219 eV/atom. The value obtained for the volume is 25.19 Å³ per atom. The value obtained for the density of states at the Fermi level is 2.1 states/eV per cell.

It has space group P3m1 (No. 156), with a = 3.7610 Å, b = 3.7610 Å, c = 8.2240 Å, α = 90.00°, β = 90.00° and γ = 120.00°. The asymmetric unit holds Si at (0.0000, 0.0000, 0.0000), Si at (0.3333, 0.6667, 0.8839), Pb at (0.0000, 0.0000, 0.6073) and Pb at (0.6667, 0.3333, 0.2760).

Entry 4:
Material: La2Sn2Sb
Method: DFT, PBE-GGA
State: relaxed

For the uncorrected formation energy, the calculation gives -0.653 eV/atom. The value obtained for the volume is 34.03 Å³ per atom. The value obtained for the density of states at the Fermi level is 5.8 states/eV per cell. For the energy above the most stable polymorph in this dataset, the calculation gives 0.092 eV per atom.

It has space group P4/mbm (No. 127), with a = 8.5181 Å, b = 8.5181 Å, c = 4.6901 Å, α = 90.00°, β = 90.00° and γ = 90.00°. The asymmetric unit holds La at (0.1767, 0.3233, 0.0000), Sn at (0.1202, 0.6202, 0.5000) and Sb at (0.0000, 0.0000, 0.0000).